[1]
Pm4SiSnN: relaxed, GGA-PBE.

Unit cell a=8.7107 b=8.7107 c=6.7997 alpha=90.00 beta=90.00 gamma=134.11
Last column: nearest neighbours and their distance in Å.
Positions (direct):
Pm (0.0000, 0.5000, 0.0000)  2 N 2.40
Pm (0.0000, 0.5000, 0.5000)  2 N 2.40
Pm (0.0791, 0.9209, 0.7500)  1 N 2.70
Pm (0.4113, 0.5887, 0.7500)  1 N 2.63
Pm (0.5000, 0.0000, 0.0000)  2 N 2.40
Pm (0.5000, 0.0000, 0.5000)  2 N 2.40
Pm (0.5887, 0.4113, 0.2500)  1 N 2.63
Pm (0.9209, 0.0791, 0.2500)  1 N 2.70
Si (0.1153, 0.8847, 0.2500)  9 Pm 3.12-3.45
Si (0.8847, 0.1153, 0.7500)  9 Pm 3.12-3.45
Sn (0.3930, 0.6070, 0.2500)  9 Pm 3.14-3.43
Sn (0.6070, 0.3930, 0.7500)  9 Pm 3.14-3.43
N (0.2476, 0.7524, 0.7500)  5 Pm 2.40-2.63
N (0.7524, 0.2476, 0.2500)  5 Pm 2.40-2.63

Symmetry: Cmcm, No. 63
Formation energy without anion corrections, eV/atom: -0.82
Total magnetization, Bohr magnetons per cell: 0.0

=====

[2]
RbCo: relaxed, GGA-PBE.

Unit cell a=6.1624 b=6.1624 c=7.3166 alpha=90.00 beta=90.00 gamma=120.00
Last column: nearest neighbours and their distance in Å.
Positions (direct):
Rb (0.3333, 0.6667, 0.2500)  5 Co 3.56-3.66
Rb (0.6667, 0.3333, 0.7500)  5 Co 3.56-3.66
Co (0.3333, 0.6667, 0.7500)  5 Rb 3.56-3.66
Co (0.6667, 0.3333, 0.2500)  5 Rb 3.56-3.66

Symmetry: P6_3/mmc, No. 194
DFT formation energy, eV/atom: 1.74
Total magnetization, Bohr magnetons per cell: 4.0

=====

[3]
LiTl4I5: relaxed, GGA-PBE.

Unit cell a=17.4684 b=17.4684 c=17.4684 alpha=163.74 beta=163.74 gamma=23.08
Last column: nearest neighbours and their distance in Å.
Positions (direct):
Li (0.0000, 0.0000, 0.0000)  2 I 2.88
Tl (0.1956, 0.1956, 0.0000)  6 I 3.46-3.82
Tl (0.4041, 0.4041, 0.0000)  5 I 3.28-3.52
Tl (0.5959, 0.5959, 0.0000)  5 I 3.28-3.52
Tl (0.8044, 0.8044, 0.0000)  6 I 3.46-3.82
I (0.0840, 0.0840, 0.0000)  1 Li 2.88
I (0.2967, 0.2967, 0.0000)  6 Tl 3.46-3.68
I (0.5000, 0.5000, 0.0000)  2 Tl 3.28, 4 Li 3.49
I (0.7033, 0.7033, 0.0000)  6 Tl 3.46-3.68
I (0.9160, 0.9160, 0.0000)  1 Li 2.88

Symmetry: I4/mmm, No. 139
Formation energy without anion corrections, eV/atom: -0.74
Total magnetization, Bohr magnetons per cell: 0.0

=====

[4]
NdTmHf: relaxed, GGA-PBE.

Unit cell a=3.4070 b=3.4070 c=8.4525 alpha=90.00 beta=90.00 gamma=120.00
Last column: nearest neighbours and their distance in Å.
Positions (direct):
Nd (0.0000, 0.0000, 0.0000)  3 Hf 3.34, 6 Nd 3.41, 3 Tm 3.73
Tm (0.3333, 0.6667, 0.6245)  3 Hf 3.25, 6 Tm 3.41
Hf (0.6667, 0.3333, 0.3187)  3 Tm 3.25, 3 Nd 3.34, 6 Hf 3.41

Symmetry: P3m1, No. 156
DFT formation energy, eV/atom: 0.15
Total magnetization, Bohr magnetons per cell: 0.0

=====

[5]
LiSmScSb: relaxed, GGA-PBE.

Unit cell a=7.2174 b=7.2174 c=7.2174 alpha=90.00 beta=90.00 gamma=90.00
Last column: nearest neighbours and their distance in Å.
Positions (direct):
Li (0.0000, 0.0000, 0.0000)  4 Sc 3.13, 4 Sm 3.13
Li (0.0000, 0.5000, 0.5000)  4 Sc 3.13, 4 Sm 3.13
Li (0.5000, 0.0000, 0.5000)  4 Sc 3.13, 4 Sm 3.13
Li (0.5000, 0.5000, 0.0000)  4 Sc 3.13, 4 Sm 3.13
Sm (0.2500, 0.2500, 0.7500)  4 Li 3.13, 4 Sb 3.13
Sm (0.2500, 0.7500, 0.2500)  4 Li 3.13, 4 Sb 3.13
Sm (0.7500, 0.2500, 0.2500)  4 Li 3.13, 4 Sb 3.13
Sm (0.7500, 0.7500, 0.7500)  4 Li 3.13, 4 Sb 3.13
Sc (0.2500, 0.2500, 0.2500)  4 Sb 3.13, 4 Li 3.13
Sc (0.2500, 0.7500, 0.7500)  4 Sb 3.13, 4 Li 3.13
Sc (0.7500, 0.2500, 0.7500)  4 Sb 3.13, 4 Li 3.13
Sc (0.7500, 0.7500, 0.2500)  4 Sb 3.13, 4 Li 3.13
Sb (0.0000, 0.0000, 0.5000)  4 Sc 3.13, 4 Sm 3.13
Sb (0.0000, 0.5000, 0.0000)  4 Sc 3.13, 4 Sm 3.13
Sb (0.5000, 0.0000, 0.0000)  4 Sc 3.13, 4 Sm 3.13
Sb (0.5000, 0.5000, 0.5000)  4 Sc 3.13, 4 Sm 3.13

Symmetry: F-43m, No. 216
Formation energy without anion corrections, eV/atom: -0.43
Total magnetization, Bohr magnetons per cell: 0.0

=====

[6]
YAl2Co: relaxed, GGA-PBE.

Unit cell a=4.7996 b=4.7996 c=15.6240 alpha=90.00 beta=90.00 gamma=90.00
Last column: nearest neighbours and their distance in Å.
Positions (direct):
Y (0.0000, 0.0000, 0.0000)  8 Al 3.19-3.45, 4 Co 3.39
Y (0.0000, 0.5000, 0.2500)  8 Al 3.19-3.45, 4 Co 3.39
Y (0.5000, 0.0000, 0.7500)  8 Al 3.19-3.45, 4 Co 3.39
Y (0.5000, 0.5000, 0.5000)  8 Al 3.19-3.45, 4 Co 3.39
Al (0.0372, 0.2500, 0.6250)  2 Co 2.30, 2 Al 2.43
Al (0.2500, 0.5372, 0.8750)  2 Co 2.30, 2 Al 2.43
Al (0.2500, 0.9628, 0.3750)  2 Co 2.30, 2 Al 2.43
Al (0.4628, 0.2500, 0.1250)  2 Co 2.30, 2 Al 2.43
Al (0.5372, 0.7500, 0.1250)  2 Co 2.30, 2 Al 2.43
Al (0.7500, 0.0372, 0.3750)  2 Co 2.30, 2 Al 2.43
Al (0.7500, 0.4628, 0.8750)  2 Co 2.30, 2 Al 2.43
Al (0.9628, 0.7500, 0.6250)  2 Co 2.30, 2 Al 2.43
Co (0.0000, 0.0000, 0.5000)  4 Al 2.30
Co (0.0000, 0.5000, 0.7500)  4 Al 2.30
Co (0.5000, 0.0000, 0.2500)  4 Al 2.30
Co (0.5000, 0.5000, 0.0000)  4 Al 2.30

Symmetry: I-42d, No. 122
DFT formation energy, eV/atom: 0.09
Total magnetization, Bohr magnetons per cell: 2.7

=====

[7]
CoPdRu: relaxed, GGA-PBE.

Unit cell a=2.6878 b=2.6878 c=6.4826 alpha=90.00 beta=90.00 gamma=120.00
Last column: nearest neighbours and their distance in Å.
Positions (direct):
Co (0.0000, 0.0000, 0.0000)  3 Ru 2.52, 3 Pd 2.67, 6 Co 2.69
Pd (0.3333, 0.6667, 0.6643)  3 Co 2.67, 6 Pd 2.69, 3 Ru 2.79
Ru (0.6667, 0.3333, 0.3059)  3 Co 2.52, 6 Ru 2.69, 3 Pd 2.79

Symmetry: P3m1, No. 156
DFT formation energy, eV/atom: 0.17
Total magnetization, Bohr magnetons per cell: 1.6

=====

[8]
NdEr2Pd2: relaxed, GGA-PBE.

Unit cell a=6.5713 b=6.5754 c=6.7871 alpha=90.00 beta=118.78 gamma=90.00
Last column: nearest neighbours and their distance in Å.
Positions (direct):
Nd (0.0000, 0.0000, 0.0000)  8 Pd 3.54-3.55, 8 Er 3.77-3.78
Nd (0.5000, 0.5000, 0.0000)  8 Pd 3.54-3.55, 8 Er 3.77-3.78
Er (0.0000, 0.2501, 0.5000)  4 Pd 2.85
Er (0.0000, 0.7499, 0.5000)  4 Pd 2.85
Er (0.5000, 0.2499, 0.5000)  4 Pd 2.85
Er (0.5000, 0.7501, 0.5000)  4 Pd 2.85
Pd (0.1127, 0.5000, 0.2236)  1 Pd 2.66, 4 Er 2.85
Pd (0.3873, 0.0000, 0.7764)  1 Pd 2.66, 4 Er 2.85
Pd (0.6127, 0.0000, 0.2236)  1 Pd 2.66, 4 Er 2.85
Pd (0.8873, 0.5000, 0.7764)  1 Pd 2.66, 4 Er 2.85

Symmetry: C2/m, No. 12
DFT formation energy, eV/atom: -0.58
Total magnetization, Bohr magnetons per cell: 0.0